Record 1
## Ca3CrS (PBE-GGA)

Data for a relaxed structure of Ca3CrS.

Its offset from the most stable computed form is 0 meV/atom. The uncorrected formation energy comes out at -374 meV/atom. Its crystal system is cubic.

It has space group Pm-3m (No. 221), with a = 5.416 Å, b = 5.416 Å, c = 5.416 Å, α = 90.00°, β = 90.00° and γ = 90.00°. The inequivalent atoms are Ca at (0.000, 0.000, 0.500), Cr at (0.500, 0.500, 0.500) and S at (0.000, 0.000, 0.000).

***

Record 2
## Rb2AcDyO4 (PBE-GGA)

Data for a relaxed structure of Rb2AcDyO4.

The uncorrected formation energy comes out at -2577 meV/atom. Its crystal system is monoclinic.

It has space group P2/m (No. 10), with a = 6.430 Å, b = 3.697 Å, c = 6.951 Å, α = 90.00°, β = 107.95° and γ = 90.00°. The inequivalent atoms are Rb at (0.000, 0.000, 0.000), Rb at (0.500, 0.500, 0.000), Ac at (0.000, 0.500, 0.500), Dy at (0.500, 0.000, 0.500), O at (0.249, 0.000, 0.681) and O at (0.290, 0.500, 0.322).

***

Record 3
## KZnTc3 (PBE-GGA)

Data for a relaxed structure of KZnTc3.

Its offset from the most stable computed form is 0 meV/atom. Its crystal system is cubic. For the calculated formation energy, the calculation gives 1.95 eV/atom.

It has space group Pm-3m (No. 221), with a = 4.773 Å, b = 4.773 Å, c = 4.773 Å, α = 90.00°, β = 90.00° and γ = 90.00°. The inequivalent atoms are K at (0.000, 0.000, 0.000), Zn at (0.500, 0.500, 0.500) and Tc at (0.000, 0.500, 0.500).

***

Record 4
## KSrLiCl4 (PBE-GGA)

Data for a relaxed structure of KSrLiCl4.

The uncorrected formation energy comes out at -2121 meV/atom. Its crystal system is monoclinic.

It has space group P2_1/m (No. 11), with a = 6.932 Å, b = 6.975 Å, c = 8.675 Å, α = 90.00°, β = 107.97° and γ = 90.00°. The inequivalent atoms are K at (0.232, 0.250, 0.436), Sr at (0.279, 0.250, 0.946), Li at (0.263, 0.750, 0.187), Cl at (0.056, 0.750, 0.918), Cl at (0.058, 0.750, 0.352) and Cl at (0.499, 0.000, 0.223).

***

Record 5
## CaGaFe3 (PBE-GGA)

Data for a relaxed structure of CaGaFe3.

Its offset from the most stable computed form is 0 meV/atom. Its crystal system is cubic. For the calculated formation energy, the calculation gives 0.69 eV/atom.

It has space group Pm-3m (No. 221), with a = 4.537 Å, b = 4.537 Å, c = 4.537 Å, α = 90.00°, β = 90.00° and γ = 90.00°. The inequivalent atoms are Ca at (0.000, 0.000, 0.000), Ga at (0.500, 0.500, 0.500) and Fe at (0.000, 0.500, 0.500).

***

Record 6
## Pr2BeFePt6 (PBE-GGA)

Data for a relaxed structure of Pr2BeFePt6.

Its crystal system is trigonal. For the calculated formation energy, the calculation gives -0.68 eV/atom.

It has space group R-3m (No. 166, hexagonal axes), with a = 5.7909 Å, b = 5.7909 Å, c = 19.5522 Å, α = 90.00°, β = 90.00° and γ = 120.00°. The inequivalent atoms are Pr at (0.0000, 0.0000, 0.2139), Be at (0.0000, 0.0000, 0.0000), Fe at (0.0000, 0.0000, 0.5000) and Pt at (0.0115, 0.5058, 0.2655).

***

Record 7
## Be2Ge2Pb (PBE-GGA)

Data for a relaxed structure of Be2Ge2Pb.

Its crystal system is tetragonal. For the calculated formation energy, the calculation gives 0.29 eV/atom.

It has space group I4/mmm (No. 139), with a = 4.137 Å, b = 4.137 Å, c = 10.186 Å, α = 90.00°, β = 90.00° and γ = 90.00°. The inequivalent atoms are Be at (0.000, 0.500, 0.250), Ge at (0.000, 0.000, 0.129) and Pb at (0.000, 0.000, 0.500).

***

Record 8
## RbTbMnTe3 (PBE-GGA)

Data for a relaxed structure of RbTbMnTe3.

The uncorrected formation energy comes out at -974 meV/atom. Its crystal system is monoclinic.

It has space group P2_1/m (No. 11), with a = 9.978 Å, b = 4.505 Å, c = 10.689 Å, α = 90.00°, β = 109.68° and γ = 90.00°. The inequivalent atoms are Rb at (0.211, 0.250, 0.241), Tb at (0.331, 0.750, 0.861), Mn at (0.084, 0.250, 0.607), Te at (0.113, 0.250, 0.865), Te at (0.208, 0.750, 0.539) and Te at (0.467, 0.750, 0.165).

***

Record 9
## TmSc3Pd4 (PBE-GGA)

Data for a relaxed structure of TmSc3Pd4.

Its crystal system is orthorhombic. For the calculated formation energy, the calculation gives -0.91 eV/atom.

It has space group Pmma (No. 51), with a = 9.578 Å, b = 6.554 Å, c = 4.787 Å, α = 90.00°, β = 90.00° and γ = 90.00°. The inequivalent atoms are Tm at (0.000, 0.000, 0.000), Sc at (0.000, 0.500, 0.000), Sc at (0.250, 0.000, 0.500), Sc at (0.250, 0.500, 0.499), Pd at (0.000, 0.258, 0.500) and Pd at (0.250, 0.257, 0.999).

***

Record 10
## Sc3C (PBE-GGA)

Data for a relaxed structure of Sc3C.

Its offset from the most stable computed form is 206 meV/atom. Its crystal system is orthorhombic. For the calculated formation energy, the calculation gives -0.06 eV/atom.

It has space group Cmcm (No. 63), with a = 5.620 Å, b = 16.175 Å, c = 3.226 Å, α = 90.00°, β = 90.00° and γ = 90.00°. The inequivalent atoms are Sc at (0.000, 0.234, 0.250), Sc at (0.235, 0.410, 0.250) and C at (0.000, 0.337, 0.750).

***

Record 11
## TbClF2 (PBE-GGA)

Data for a relaxed structure of TbClF2.

The uncorrected formation energy comes out at -3509 meV/atom. Its crystal system is orthorhombic.

It has space group Cmcm (No. 63), with a = 3.771 Å, b = 9.936 Å, c = 6.955 Å, α = 90.00°, β = 90.00° and γ = 90.00°. The inequivalent atoms are Tb at (0.000, 0.239, 0.250), Cl at (0.000, 0.046, 0.750) and F at (0.000, 0.319, 0.567).

***

Record 12
## GeSb2Te (PBE-GGA)

Data for a relaxed structure of GeSb2Te.

Its offset from the most stable computed form is 182 meV/atom. The uncorrected formation energy comes out at 251 meV/atom. Its crystal system is tetragonal.

It has space group I-42d (No. 122), with a = 7.444 Å, b = 7.444 Å, c = 9.672 Å, α = 90.00°, β = 90.00° and γ = 90.00°. The inequivalent atoms are Ge at (0.000, 0.000, 0.000), Sb at (0.214, 0.250, 0.125) and Te at (0.000, 0.000, 0.500).